Entry 1:
# GGA-PBE NaGdZnSe3, optimized geometry
data_NaGdZnSe3
_cell_length_a 19.167
_cell_length_b 4.082
_cell_length_c 8.146
_cell_angle_alpha 90.00
_cell_angle_beta 103.60
_cell_angle_gamma 90.00
_symmetry_space_group_name_H-M 'C 1 2/m 1'
_symmetry_Int_Tables_number 12
loop_
_symmetry_equiv_pos_as_xyz
'x,y,z'
'-x,-y,-z'
'-x,y,-z'
'x,-y,z'
'x+1/2,y+1/2,z'
'-x+1/2,-y+1/2,-z'
'-x+1/2,y+1/2,-z'
'x+1/2,-y+1/2,z'
loop_
_atom_site_label
_atom_site_type_symbol
_atom_site_fract_x
_atom_site_fract_y
_atom_site_fract_z
Na1 Na 0.120 0.000 0.073
Gd1 Gd 0.173 0.000 0.585
Zn1 Zn 0.035 0.500 0.729
Se1 Se 0.000 0.000 0.500
Se2 Se 0.000 0.500 0.000
Se3 Se 0.165 0.500 0.827
Se4 Se 0.175 0.500 0.342
# Crystal system: monoclinic
# M_tot, μB per formula unit: 0.00
# Electronic total energy, eV per atom: -4.159


Entry 2:
# GGA-PBE NaGdZnSe3, optimized geometry
data_NaGdZnSe3
_cell_length_a 11.592
_cell_length_b 4.147
_cell_length_c 12.200
_cell_angle_alpha 90.00
_cell_angle_beta 90.00
_cell_angle_gamma 90.00
_symmetry_space_group_name_H-M 'P n m a'
_symmetry_Int_Tables_number 62
loop_
_symmetry_equiv_pos_as_xyz
'x,y,z'
'-x,-y,-z'
'-x+1/2,-y,z+1/2'
'x+1/2,y,-z+1/2'
'x+1/2,-y+1/2,-z+1/2'
'-x+1/2,y+1/2,z+1/2'
'-x,y+1/2,-z'
'x,-y+1/2,z'
loop_
_atom_site_label
_atom_site_type_symbol
_atom_site_fract_x
_atom_site_fract_y
_atom_site_fract_z
Na1 Na 0.167 0.250 0.001
Gd1 Gd 0.024 0.250 0.318
Zn1 Zn 0.249 0.250 0.708
Se1 Se 0.050 0.750 0.150
Se2 Se 0.101 0.250 0.565
Se3 Se 0.218 0.750 0.820
# Crystal system: orthorhombic
# M_tot, μB per formula unit: 0.00
# Electronic total energy, eV per atom: -4.239


Entry 3:
# GGA-PBE NaSmGd, optimized geometry
data_NaSmGd
_cell_length_a 7.584
_cell_length_b 7.584
_cell_length_c 7.584
_cell_angle_alpha 90.00
_cell_angle_beta 90.00
_cell_angle_gamma 90.00
_symmetry_space_group_name_H-M 'F -4 3 m'
_symmetry_Int_Tables_number 216
_symmetry_space_group_name_Hall 'F -4 2 3'
loop_
_atom_site_label
_atom_site_type_symbol
_atom_site_fract_x
_atom_site_fract_y
_atom_site_fract_z
Na1 Na 0.000 0.000 0.000
Sm1 Sm 0.250 0.250 0.250
Gd1 Gd 0.250 0.250 0.750
# Crystal system: cubic
# M_tot, μB per formula unit: 2.06
# Electronic total energy, eV per atom: -2.773


Entry 4:
# GGA-PBE NaSrGdTe3, optimized geometry
data_NaSrGdTe3
_cell_length_a 19.283
_cell_length_b 4.461
_cell_length_c 9.717
_cell_angle_alpha 90.00
_cell_angle_beta 104.66
_cell_angle_gamma 90.00
_symmetry_space_group_name_H-M 'C 1 2/m 1'
_symmetry_Int_Tables_number 12
loop_
_symmetry_equiv_pos_as_xyz
'x,y,z'
'-x,-y,-z'
'-x,y,-z'
'x,-y,z'
'x+1/2,y+1/2,z'
'-x+1/2,-y+1/2,-z'
'-x+1/2,y+1/2,-z'
'x+1/2,-y+1/2,z'
loop_
_atom_site_label
_atom_site_type_symbol
_atom_site_fract_x
_atom_site_fract_y
_atom_site_fract_z
Na1 Na 0.007 0.000 0.205
Sr1 Sr 0.135 0.500 0.567
Gd1 Gd 0.167 0.500 0.088
Te1 Te 0.000 0.000 0.500
Te2 Te 0.000 0.500 0.000
Te3 Te 0.168 0.000 0.859
Te4 Te 0.181 0.000 0.321
# Crystal system: monoclinic
# M_tot, μB per formula unit: 0.00
# Electronic total energy, eV per atom: -4.242


Entry 5:
# GGA-PBE NaSrGdTe3, optimized geometry
data_NaSrGdTe3
_cell_length_a 15.022
_cell_length_b 4.555
_cell_length_c 11.663
_cell_angle_alpha 90.00
_cell_angle_beta 90.00
_cell_angle_gamma 90.00
_symmetry_space_group_name_H-M 'P n m a'
_symmetry_Int_Tables_number 62
loop_
_symmetry_equiv_pos_as_xyz
'x,y,z'
'-x,-y,-z'
'-x+1/2,-y,z+1/2'
'x+1/2,y,-z+1/2'
'x+1/2,-y+1/2,-z+1/2'
'-x+1/2,y+1/2,z+1/2'
'-x,y+1/2,-z'
'x,-y+1/2,z'
loop_
_atom_site_label
_atom_site_type_symbol
_atom_site_fract_x
_atom_site_fract_y
_atom_site_fract_z
Na1 Na 0.002 0.250 0.090
Sr1 Sr 0.235 0.750 0.039
Gd1 Gd 0.018 0.750 0.333
Te1 Te 0.105 0.750 0.572
Te2 Te 0.122 0.250 0.874
Te3 Te 0.150 0.250 0.258
# Crystal system: orthorhombic
# M_tot, μB per formula unit: 0.00
# Electronic total energy, eV per atom: -4.166


Entry 6:
# GGA-PBE NaGdTe, optimized geometry
data_NaGdTe
_cell_length_a 7.185
_cell_length_b 7.185
_cell_length_c 7.185
_cell_angle_alpha 90.00
_cell_angle_beta 90.00
_cell_angle_gamma 90.00
_symmetry_space_group_name_H-M 'F -4 3 m'
_symmetry_Int_Tables_number 216
_symmetry_space_group_name_Hall 'F -4 2 3'
loop_
_atom_site_label
_atom_site_type_symbol
_atom_site_fract_x
_atom_site_fract_y
_atom_site_fract_z
Na1 Na 0.000 0.000 0.000
Gd1 Gd 0.000 0.000 0.500
Te1 Te 0.250 0.250 0.750
# Crystal system: cubic
# M_tot, μB per formula unit: 0.01
# Electronic total energy, eV per atom: -3.517